[1]
## HgMoRh (GGA-PBE)

Data for crystalline HgMoRh at its relaxed geometry.

The space group is P3m1 (No. 156) and the conventional cell measures 2.8932, 2.8932 and 7.0299 Å, with angles of 90.00, 90.00 and 120.00 degrees. The asymmetric unit holds Hg at (0.0000, 0.0000, 0.0000), Mo at (0.6667, 0.3333, 0.3605) and Rh at (0.3333, 0.6667, 0.6487).

The density of states at the Fermi level comes out at 3.37 states/eV/cell. For the polymorph energy (0 for the lowest one), the calculation gives 77 meV/atom. The value obtained for the electronic total energy is -5.95 eV per atom. Its calculated volume is 51.0 Å³ per cell. The calculation puts the formation energy at 0.22 eV per atom.

***

[2]
## VCr2SiPt (GGA-PBE)

Data for crystalline VCr2SiPt at its relaxed geometry.

The space group is P4/mmm (No. 123) and the conventional cell measures 4.285, 4.285 and 4.363 Å, with angles of 90.00, 90.00 and 90.00 degrees. The asymmetric unit holds V at (0.000, 0.000, 0.000), Cr at (0.000, 0.500, 0.500), Si at (0.000, 0.000, 0.500) and Pt at (0.500, 0.500, 0.000).

The density of states at the Fermi level comes out at 5.86 states/eV/cell. The value obtained for the electronic total energy is -7.22 eV per atom. Its calculated volume is 80.1 Å³ per cell.

***

[3]
## Sc7Al2In2 (GGA-PBE)

Data for crystalline Sc7Al2In2 at its relaxed geometry.

The space group is Cmmm (No. 65) and the conventional cell measures 6.901, 10.496 and 7.538 Å, with angles of 90.00, 90.00 and 90.00 degrees. The asymmetric unit holds Sc at (0.000, 0.000, 0.000), Sc at (0.000, 0.500, 0.219), Sc at (0.250, 0.250, 0.289), Al at (0.000, 0.278, 0.000) and In at (0.203, 0.000, 0.500).

The density of states at the Fermi level comes out at 24.86 states/eV/cell. The value obtained for the electronic total energy is -5.24 eV per atom. Its calculated volume is 546.0 Å³ per cell. The calculation puts the formation energy at -0.03 eV per atom.

***

[4]
## HoPuCu2 (GGA-PBE)

Data for crystalline HoPuCu2 at its relaxed geometry.

The space group is Fm-3m (No. 225) and the conventional cell measures 6.941, 6.941 and 6.941 Å, with angles of 90.00, 90.00 and 90.00 degrees. The asymmetric unit holds Ho at (0.000, 0.000, 0.000), Pu at (0.000, 0.000, 0.500) and Cu at (0.250, 0.250, 0.250).

The density of states at the Fermi level comes out at 41.77 states/eV/cell. For the polymorph energy (0 for the lowest one), the calculation gives 45 meV/atom. The value obtained for the electronic total energy is -6.80 eV per atom. Its calculated volume is 334.4 Å³ per cell. The calculation puts the formation energy at -0.03 eV per atom.

***

[5]
## Co3SnB (GGA-PBE)

Data for crystalline Co3SnB at its relaxed geometry.

The space group is Pm-3m (No. 221) and the conventional cell measures 4.704, 4.704 and 4.704 Å, with angles of 90.00, 90.00 and 90.00 degrees. The asymmetric unit holds Co at (0.000, 0.000, 0.500), Sn at (0.000, 0.000, 0.000) and B at (0.500, 0.500, 0.500).

The density of states at the Fermi level comes out at 9.90 states/eV/cell. For the polymorph energy (0 for the lowest one), the calculation gives 2365 meV/atom. The value obtained for the electronic total energy is -4.17 eV per atom. Its calculated volume is 104.1 Å³ per cell. The calculation puts the formation energy at 2.23 eV per atom.

***

[6]
## ZnCr2Au (GGA-PBE)

Data for crystalline ZnCr2Au at its relaxed geometry.

The space group is P4/mmm (No. 123) and the conventional cell measures 2.605, 2.605 and 8.177 Å, with angles of 90.00, 90.00 and 90.00 degrees. The asymmetric unit holds Zn at (0.000, 0.000, 0.000), Cr at (0.500, 0.500, 0.239) and Au at (0.000, 0.000, 0.500).

The density of states at the Fermi level comes out at 3.23 states/eV/cell. The value obtained for the electronic total energy is -5.57 eV per atom. Its calculated volume is 55.5 Å³ per cell. The calculation puts the formation energy at 0.38 eV per atom.